# Cs2Np2Br7

A geometry-optimized Cs2Np2Br7 structure (PBE, Alexandria).

a b c (Å): 8.055 7.717 7.717
angles (deg): 74.24 94.78 94.78
Site moments in Bohr magnetons follow the coordinates.
Positions (direct):
Br1 0.231 0.957 0.504  -0.02
Br2 0.215 0.459 0.459  -0.02
Br3 0.000 0.000 0.000  -0.02
Cs1 0.500 0.226 0.774  0.00
Br4 0.769 0.496 0.043  -0.02
Np1 0.974 0.750 0.750  4.37
Br5 0.785 0.541 0.541  -0.02
Cs2 0.500 0.774 0.226  0.00
Br6 0.231 0.504 0.957  -0.02
Br7 0.769 0.043 0.496  -0.02
Np2 0.026 0.250 0.250  4.37

Summary:
The space group is C2/m, No. 12. The calculation puts the total magnetization at 9.00 Bohr magnetons per cell. The calculation puts the mass density at 4.70 g cm⁻³. For the final energy, the calculation gives -4.9548 eV per atom.

***

# CsNp2Br6

A geometry-optimized CsNp2Br6 structure (PBE, Alexandria).

a b c (Å): 8.047 7.617 7.617
angles (deg): 120.00 90.00 90.00
Site moments in Bohr magnetons follow the coordinates.
Positions (direct):
Br1 0.288 0.375 0.375  -0.03
Br2 0.712 0.375 0.000  -0.03
Br3 0.712 0.000 0.375  -0.03
Br4 0.712 0.625 0.625  -0.03
Np1 0.500 0.333 0.667  4.35
Np2 0.500 0.667 0.333  4.35
Br5 0.288 0.000 0.625  -0.03
Br6 0.288 0.625 0.000  -0.03
Cs1 0.000 0.000 0.000  0.00

Summary:
The space group is P-31m, No. 162. The calculation puts the total magnetization at 9.00 Bohr magnetons per cell. The calculation puts the mass density at 4.46 g cm⁻³. For the final energy, the calculation gives -5.4639 eV per atom.

***

| no. | uncorrected formation energy (kJ/mol of formula units) |
| --- | --- |
| 1 | -1467 |
| 2 | -1197 |